No. 1
{
  "formula": "Bi2HF",
  "functional": "PBE-GGA",
  "state": "relaxed",
  "lattice_angstrom": [[-4.895, 3.000, -0.370], [-2.480, -4.388, -2.773], [-5.226, -2.652, 2.903]],
  "species": ["Bi", "Bi", "Bi", "Bi", "H", "H", "F", "F"],
  "fractional_positions": [[0.375, 0.438, 0.750], [0.875, 0.812, 0.750], [0.562, 0.125, 0.250], [0.188, 0.625, 0.250], [0.500, 0.500, 0.000], [0.250, 0.750, 0.500], [0.750, 0.250, 0.500], [0.000, 0.000, 0.000]],
  "relative_energy_ev_per_atom": 0.000,
  "magnetic_moment_mub_per_atom": 0.000,
  "total_energy_ev_per_cell": -28.14,
  "sg": "No. 122"
}

No. 2
{
  "formula": "BiH6F12",
  "functional": "PBE-GGA",
  "state": "relaxed",
  "lattice_angstrom": [[6.411, -0.551, -1.242], [-1.398, 6.281, -1.242], [-0.482, -0.551, 6.513]],
  "species": ["H", "H", "H", "H", "H", "H", "F", "F", "F", "F", "F", "F", "F", "F", "F", "F", "F", "F", "Bi"],
  "fractional_positions": [[0.714, 0.464, 0.320], [0.320, 0.714, 0.464], [0.286, 0.536, 0.680], [0.680, 0.286, 0.536], [0.536, 0.680, 0.286], [0.464, 0.320, 0.714], [0.237, 0.680, 0.569], [0.330, 0.103, 0.023], [0.103, 0.023, 0.330], [0.680, 0.569, 0.237], [0.897, 0.977, 0.670], [0.670, 0.897, 0.977], [0.977, 0.670, 0.897], [0.763, 0.320, 0.431], [0.320, 0.431, 0.763], [0.569, 0.237, 0.680], [0.023, 0.330, 0.103], [0.431, 0.763, 0.320], [0.000, 0.000, 0.000]],
  "magnetic_moment_mub_per_atom": 0.063,
  "total_energy_ev_per_cell": -75.43,
  "sg": "No. 148"
}

No. 3
{
  "formula": "BiH4F",
  "functional": "PBE-GGA",
  "state": "relaxed",
  "lattice_angstrom": [[10.876, 1.205, -1.573], [-3.681, 6.400, -7.155], [-0.094, -4.704, 9.134]],
  "species": ["Bi", "Bi", "F", "F", "H", "H", "H", "H", "H", "H", "H", "H"],
  "fractional_positions": [[0.750, 0.506, 0.495], [0.250, 0.494, 0.505], [0.750, 0.004, 0.996], [0.250, 0.996, 0.004], [0.508, 0.838, 0.194], [0.492, 0.162, 0.806], [0.494, 0.769, 0.198], [0.005, 0.188, 0.833], [0.005, 0.798, 0.228], [0.995, 0.812, 0.167], [0.995, 0.202, 0.772], [0.506, 0.231, 0.801]],
  "magnetic_moment_mub_per_atom": 0.000,
  "total_energy_ev_per_cell": -43.28,
  "sg": "No. 2"
}

No. 4
{
  "formula": "BiHF",
  "functional": "PBE-GGA",
  "state": "relaxed",
  "lattice_angstrom": [[-2.384, 2.460, 1.205], [-1.688, -0.061, -3.216], [-0.441, -4.265, 2.363]],
  "species": ["H", "F", "Bi"],
  "fractional_positions": [[0.913, 0.913, 0.826], [0.243, 0.243, 0.487], [0.693, 0.693, 0.387]],
  "relative_energy_ev_per_atom": 0.221,
  "magnetic_moment_mub_per_atom": 0.000,
  "total_energy_ev_per_cell": -10.86,
  "sg": "No. 107"
}

No. 5
{
  "formula": "InBi2HF",
  "functional": "PBE-GGA",
  "state": "relaxed",
  "lattice_angstrom": [[4.648, 0.000, 0.000], [0.000, 4.908, 0.000], [0.000, 0.000, 4.648]],
  "species": ["F", "H", "Bi", "Bi", "In"],
  "fractional_positions": [[0.000, 0.500, 0.000], [0.000, 0.000, 0.000], [0.500, 0.000, 0.000], [0.000, 0.000, 0.500], [0.500, 0.500, 0.500]],
  "magnetic_moment_mub_per_atom": 0.000,
  "total_energy_ev_per_cell": -16.46,
  "sg": "No. 123"
}

No. 6
{
  "formula": "KBiH2F8",
  "functional": "PBE-GGA",
  "state": "relaxed",
  "lattice_angstrom": [[-2.948, 3.354, -2.149], [-4.698, -1.822, -0.340], [-1.615, 4.129, 6.648]],
  "species": ["K", "F", "F", "F", "F", "F", "F", "F", "F", "H", "H", "Bi"],
  "fractional_positions": [[0.000, 0.000, 0.500], [0.343, 0.305, 0.589], [0.255, 0.243, 0.997], [0.745, 0.757, 0.003], [0.657, 0.695, 0.411], [0.263, 0.739, 0.792], [0.215, 0.771, 0.177], [0.737, 0.261, 0.208], [0.785, 0.229, 0.823], [0.322, 0.441, 0.683], [0.678, 0.559, 0.317], [0.000, 0.000, 0.000]],
  "magnetic_moment_mub_per_atom": 0.019,
  "total_energy_ev_per_cell": -50.30,
  "sg": "No. 2"
}